No. 1
Compound: Ti8BiC2
Source: the Alexandria database
Functional: GGA-PBE
Structure: optimized geometry

Values from the calculation:
- Energy of formation from the pure elements: -1.44 kcal/mol of atoms
- Space-group type: Immm
- Uncorrected energy: -7.834 eV per atom
- Size of the total moment: 0.001 Bohr magnetons per cell

Geometry as POSCAR:
```
Ti8BiC2
1.0
4.583 0.794 0.602
0.861 7.245 2.167
0.861 4.038 6.393
Ti Bi C
8 1 2
Direct
0.397 0.343 0.863
0.603 0.137 0.657
0.230 0.771 0.771
0.770 0.229 0.229
0.397 0.863 0.343
0.603 0.657 0.137
0.886 0.614 0.614
0.114 0.386 0.386
0.000 0.000 0.000
0.732 0.768 0.768
0.268 0.232 0.232
```


No. 2
Compound: V2GaRe
Source: the Alexandria database
Functional: GGA-PBE
Structure: optimized geometry

Values from the calculation:
- Energy of formation from the pure elements: -4.73 kcal/mol of atoms
- Space-group type: P4/mmm
- Uncorrected energy: -8.633 eV per atom
- Size of the total moment: 0.000 Bohr magnetons per cell

Geometry as POSCAR:
```
V2GaRe
1.0
-0.152 -3.127 -0.400
-0.263 -0.386 3.121
-5.621 0.329 -0.433
Re Ga V
1 1 2
Direct
0.500 0.500 0.000
0.500 0.500 0.500
0.000 0.000 0.754
0.000 0.000 0.246
```


No. 3
Compound: LiCr2Pd2
Source: the Alexandria database
Functional: GGA-PBE
Structure: optimized geometry

Values from the calculation:
- Energy of formation from the pure elements: 3.21 kcal/mol of atoms
- Relative energy among the computed polymorphs: 29 meV per atom
- Space-group type: P4/mbm
- Uncorrected energy: -6.170 eV per atom
- Size of the total moment: 0.000 Bohr magnetons per cell

Geometry as POSCAR:
```
LiCr2Pd2
1.0
7.474 0.000 0.000
0.000 7.474 0.000
0.000 0.000 2.714
Cr Pd Li
4 4 2
Direct
0.089 0.589 0.500
0.589 0.911 0.500
0.911 0.411 0.500
0.411 0.089 0.500
0.300 0.800 0.000
0.800 0.700 0.000
0.700 0.200 0.000
0.200 0.300 0.000
0.000 0.000 0.000
0.500 0.500 0.000
```


No. 4
Compound: AcPdRh2O8
Source: the Alexandria database
Functional: GGA-PBE
Structure: optimized geometry

Values from the calculation:
- Formation energy without anion corrections: -855 meV per atom
- Space-group type: P-3m1
- Uncorrected energy: -6.161 eV per atom
- Size of the total moment: 0.000 Bohr magnetons per cell

Geometry as POSCAR:
```
AcPdRh2O8
1.0
5.702 0.000 0.000
-2.851 4.938 0.000
0.000 0.000 7.295
Ac Pd Rh O
1 1 2 8
Direct
0.000 0.000 0.500
0.000 0.000 0.000
0.333 0.667 0.766
0.667 0.333 0.234
0.149 0.299 0.795
0.149 0.851 0.795
0.701 0.851 0.795
0.299 0.149 0.205
0.667 0.333 0.493
0.333 0.667 0.507
0.851 0.701 0.205
0.851 0.149 0.205
```


No. 5
Compound: CaTa
Source: the Alexandria database
Functional: GGA-PBE
Structure: optimized geometry

Values from the calculation:
- Energy of formation from the pure elements: 25.42 kcal/mol of atoms
- Relative energy among the computed polymorphs: 746 meV per atom
- Space-group type: I4/m
- Uncorrected energy: -5.825 eV per atom
- Size of the total moment: 0.000 Bohr magnetons per cell

Geometry as POSCAR:
```
CaTa
1.0
13.573 0.000 0.000
0.000 13.573 0.000
0.000 0.000 3.052
Ca Ta
8 8
Direct
0.450 0.820 0.000
0.550 0.180 0.000
0.180 0.450 0.000
0.820 0.550 0.000
0.950 0.320 0.500
0.050 0.680 0.500
0.680 0.950 0.500
0.320 0.050 0.500
0.327 0.266 0.000
0.673 0.734 0.000
0.734 0.327 0.000
0.266 0.673 0.000
0.827 0.766 0.500
0.173 0.234 0.500
0.234 0.827 0.500
0.766 0.173 0.500
```


No. 6
Compound: TlGa3Au2
Source: the Alexandria database
Functional: GGA-PBE
Structure: optimized geometry

Values from the calculation:
- Energy of formation from the pure elements: -3.20 kcal/mol of atoms
- Space-group type: C2/m
- Uncorrected energy: -3.139 eV per atom
- Size of the total moment: 0.000 Bohr magnetons per cell

Geometry as POSCAR:
```
TlGa3Au2
1.0
-1.019 2.877 -3.177
-10.101 1.078 1.160
-3.253 5.891 3.322
Tl Ga Au
2 6 4
Direct
0.849 0.041 0.261
0.151 0.959 0.739
0.330 0.427 0.912
0.978 0.335 0.709
0.641 0.234 0.485
0.359 0.766 0.515
0.022 0.665 0.291
0.670 0.573 0.088
0.467 0.167 0.899
0.533 0.833 0.101
0.846 0.608 0.700
0.154 0.392 0.300
```


No. 7
Compound: Nd12InIr6
Source: the Alexandria database
Functional: GGA-PBE
Structure: optimized geometry

Values from the calculation:
- Energy of formation from the pure elements: -11.14 kcal/mol of atoms
- Space-group type: Im-3
- Uncorrected energy: -6.437 eV per atom
- Size of the total moment: 0.000 Bohr magnetons per cell

Geometry as POSCAR:
```
Nd12InIr6
1.0
-7.233 -2.010 4.810
4.071 -7.518 -2.530
5.587 4.889 4.937
Nd In Ir
12 1 6
Direct
0.304 0.114 0.810
0.304 0.494 0.190
0.696 0.506 0.810
0.696 0.886 0.190
0.114 0.810 0.304
0.494 0.190 0.304
0.506 0.810 0.696
0.886 0.190 0.696
0.810 0.304 0.114
0.190 0.304 0.494
0.810 0.696 0.506
0.190 0.696 0.886
0.000 0.000 0.000
0.376 0.500 0.876
0.624 0.500 0.124
0.500 0.876 0.376
0.500 0.124 0.624
0.876 0.376 0.500
0.124 0.624 0.500
```